1.
VASP calculation (PBE-GGA) on a relaxed Ce6TlFe2 crystal.

abc: 10.146 4.918 8.739
angles: 90.00 95.78 90.00
Space group C2/m (No. 12)
Asymmetric unit:
Ce1 0.059 0.000 0.370
Ce2 0.103 0.500 0.666
Ce3 0.204 0.500 0.128
Tl1 0.000 0.000 0.000
Fe1 0.234 0.500 0.375

Computed properties:
DOS(E_F) (states/eV per atom): 1.85
ΔH_f (0 K) (kJ per mole of atoms): -14.5

=====

2.
VASP calculation (PBE-GGA) on a relaxed Ta6Nb5Au crystal.

abc: 10.452 9.834 4.761
angles: 90.00 116.94 90.00
Space group C2/m (No. 12)
Asymmetric unit:
Ta1 0.247 0.170 0.247
Ta2 0.249 0.000 0.748
Nb1 0.000 0.000 0.000
Nb2 0.000 0.167 0.500
Nb3 0.000 0.331 0.000
Au1 0.000 0.500 0.500

Computed properties:
DOS(E_F) (states/eV per atom): 1.14
ΔH_f (0 K) (kJ per mole of atoms): -2.5

=====

3.
VASP calculation (PBE-GGA) on a relaxed HgRu2O crystal.

abc: 6.220 6.220 6.220
angles: 90.00 90.00 90.00
Space group Fm-3m (No. 225)
Asymmetric unit:
Hg1 0.000 0.000 0.000
Ru1 0.250 0.250 0.250
O1 0.000 0.000 0.500

Computed properties:
Formation energy (no corrections) (eV per formula unit): 4.4
DOS(E_F) (states/eV per atom): 1.27

=====

4.
VASP calculation (PBE-GGA) on a relaxed La2CrCo crystal.

abc: 3.281 3.281 8.567
angles: 90.00 90.00 90.00
Space group P4mm (No. 99)
Asymmetric unit:
La1 0.000 0.000 0.000
La2 0.500 0.500 0.398
Cr1 0.500 0.500 0.737
Co1 0.000 0.000 0.637

Computed properties:
DOS(E_F) (states/eV per atom): 1.39
ΔH_f (0 K) (kJ per mole of atoms): 32.7

=====

5.
VASP calculation (PBE-GGA) on a relaxed FeCu2H crystal.

abc: 5.595 5.595 5.595
angles: 90.00 90.00 90.00
Space group Fm-3m (No. 225)
Asymmetric unit:
Fe1 0.000 0.000 0.000
Cu1 0.250 0.250 0.250
H1 0.000 0.000 0.500

Computed properties:
DOS(E_F) (states/eV per atom): 0.36
Final energy (eV per atom): -4.22

=====

6.
VASP calculation (PBE-GGA) on a relaxed CdCo4Hg crystal.

abc: 6.972 6.972 6.972
angles: 90.00 90.00 90.00
Space group F-43m (No. 216)
Asymmetric unit:
Cd1 0.000 0.000 0.000
Co1 0.125 0.125 0.625
Hg1 0.250 0.250 0.250

Computed properties:
DOS(E_F) (states/eV per atom): 1.20
ΔH_f (0 K) (kJ per mole of atoms): 29.0

=====

7.
VASP calculation (PBE-GGA) on a relaxed Tb3PbS2 crystal.

abc: 3.872 14.691 11.007
angles: 90.00 90.00 90.00
Space group Cmcm (No. 63)
Asymmetric unit:
Tb1 0.000 0.038 0.250
Tb2 0.000 0.362 0.025
Pb1 0.000 0.276 0.750
S1 0.000 0.000 0.000
S2 0.000 0.414 0.250

Computed properties:
Formation energy (no corrections) (eV per formula unit): -7.8
DOS(E_F) (states/eV per atom): 0.51

=====

8.
VASP calculation (PBE-GGA) on a relaxed Li2PuPtO5 crystal.

abc: 6.477 6.477 5.415
angles: 90.00 90.00 90.00
Space group P4/mbm (No. 127)
Asymmetric unit:
Li1 0.207 0.293 0.000
Pu1 0.000 0.500 0.500
Pt1 0.000 0.000 0.500
O1 0.000 0.000 0.000
O2 0.145 0.645 0.254

Computed properties:
Formation energy (no corrections) (eV per formula unit): -10.3
DOS(E_F) (states/eV per atom): 0.73

=====

9.
VASP calculation (PBE-GGA) on a relaxed AuSe2NO crystal.

abc: 4.523 4.523 3.873
angles: 90.00 90.00 90.00
Space group P4/mmm (No. 123)
Asymmetric unit:
Au1 0.000 0.000 0.000
Se1 0.000 0.500 0.500
N1 0.500 0.500 0.000
O1 0.500 0.500 0.500

Computed properties:
Formation energy (no corrections) (eV per formula unit): 6.9
DOS(E_F) (states/eV per atom): 0.68

=====

10.
VASP calculation (PBE-GGA) on a relaxed NdIn9Pd2 crystal.

abc: 12.726 12.726 7.184
angles: 90.00 90.00 90.00
Space group I4_1/amd (No. 141, origin choice 2)
Asymmetric unit:
Nd1 0.000 0.250 0.375
In1 0.000 0.250 0.875
In2 0.121 0.069 0.668
Pd1 0.000 0.000 0.000

Computed properties:
DOS(E_F) (states/eV per atom): 0.40
ΔH_f (0 K) (kJ per mole of atoms): -19.3

=====

11.
VASP calculation (PBE-GGA) on a relaxed Ba2CuPdW crystal.

abc: 6.032 6.032 4.745
angles: 90.00 90.00 90.00
Space group P4/mmm (No. 123)
Asymmetric unit:
Ba1 0.000 0.500 0.000
Cu1 0.000 0.000 0.000
Pd1 0.500 0.500 0.500
W1 0.000 0.000 0.500

Computed properties:
DOS(E_F) (states/eV per atom): 0.77
ΔH_f (0 K) (kJ per mole of atoms): 91.0

=====

12.
VASP calculation (PBE-GGA) on a relaxed LaSn3Se crystal.

abc: 6.034 6.034 6.034
angles: 90.00 90.00 90.00
Space group Pm-3m (No. 221)
Asymmetric unit:
La1 0.000 0.000 0.000
Sn1 0.000 0.000 0.500
Se1 0.500 0.500 0.500

Computed properties:
Formation energy (no corrections) (eV per formula unit): 4.3
DOS(E_F) (states/eV per atom): 1.75

=====

13.
VASP calculation (PBE-GGA) on a relaxed Ca2Pr3In3 crystal.

abc: 3.871 5.651 23.262
angles: 90.00 90.00 90.00
Space group Immm (No. 71)
Asymmetric unit:
Ca1 0.000 0.000 0.234
Pr1 0.000 0.000 0.000
Pr2 0.000 0.500 0.118
In1 0.000 0.000 0.500
In2 0.000 0.500 0.377

Computed properties:
DOS(E_F) (states/eV per atom): 1.27
ΔH_f (0 K) (kJ per mole of atoms): -30.7

=====

14.
VASP calculation (PBE-GGA) on a relaxed Pr5SnPd2 crystal.

abc: 8.181 8.181 13.885
angles: 90.00 90.00 90.00
Space group I4/mcm (No. 140)
Asymmetric unit:
Pr1 0.000 0.000 0.000
Pr2 0.159 0.341 0.142
Sn1 0.000 0.000 0.250
Pd1 0.131 0.369 0.500

Computed properties:
DOS(E_F) (states/eV per atom): 0.97
ΔH_f (0 K) (kJ per mole of atoms): -58.1

=====

15.
VASP calculation (PBE-GGA) on a relaxed Li2Er3Mg9 crystal.

abc: 5.002 11.291 12.067
angles: 90.00 90.00 90.00
Space group Immm (No. 71)
Asymmetric unit:
Li1 0.000 0.155 0.000
Er1 0.000 0.000 0.219
Er2 0.000 0.000 0.500
Mg1 0.000 0.270 0.361
Mg2 0.000 0.372 0.133
Mg3 0.000 0.500 0.500

Computed properties:
DOS(E_F) (states/eV per atom): 0.80
ΔH_f (0 K) (kJ per mole of atoms): 0.6

=====

16.
VASP calculation (PBE-GGA) on a relaxed MgTa2Be crystal.

abc: 5.608 8.175 2.849
angles: 90.00 90.00 90.00
Space group Cmmm (No. 65)
Asymmetric unit:
Mg1 0.000 0.000 0.000
Ta1 0.250 0.250 0.500
Be1 0.000 0.500 0.000

Computed properties:
DOS(E_F) (states/eV per atom): 0.48
ΔH_f (0 K) (kJ per mole of atoms): 34.6

=====

17.
VASP calculation (PBE-GGA) on a relaxed Rh2PbAu crystal.

abc: 3.1434 3.1434 25.4555
angles: 90.00 90.00 120.00
Space group R-3m (No. 166, hexagonal axes)
Asymmetric unit:
Rh1 0.0000 0.0000 0.2487
Pb1 0.0000 0.0000 0.5000
Au1 0.0000 0.0000 0.0000

Computed properties:
DOS(E_F) (states/eV per atom): 0.84
ΔH_f (0 K) (kJ per mole of atoms): 27.2